! NaLuTl | the Open Quantum Materials Database | GGA-PBE | optimized geometry; values from VASP
! space-group type	F-43m (216)
! total magnetic moment	0.33	μB/atom
&SYSTEM
  ibrav = 0, nat = 3, ntyp = 3
/
ATOMIC_SPECIES
Na 22.99 Na.upf
Lu 174.97 Lu.upf
Tl 204.38 Tl.upf
CELL_PARAMETERS angstrom
0.000 3.610 3.610
3.610 0.000 3.610
3.610 3.610 0.000
ATOMIC_POSITIONS crystal
Na 0.000 0.000 0.000
Lu 0.500 0.500 0.500
Tl 0.750 0.750 0.750



! NdGaNi | the Open Quantum Materials Database | GGA-PBE | optimized geometry; values from VASP
! space-group type	Pnma (62)
! total magnetic moment	0.00	μB/atom
&SYSTEM
  ibrav = 0, nat = 12, ntyp = 3
/
ATOMIC_SPECIES
Nd 144.24 Nd.upf
Ga 69.72 Ga.upf
Ni 58.69 Ni.upf
CELL_PARAMETERS angstrom
7.100 0.000 0.000
0.000 4.428 0.000
0.000 0.000 7.351
ATOMIC_POSITIONS crystal
Nd 0.026 0.250 0.193
Nd 0.474 0.750 0.693
Nd 0.526 0.250 0.307
Nd 0.974 0.750 0.807
Ga 0.172 0.250 0.583
Ga 0.328 0.750 0.083
Ga 0.672 0.250 0.917
Ga 0.828 0.750 0.417
Ni 0.199 0.750 0.410
Ni 0.301 0.250 0.910
Ni 0.699 0.750 0.090
Ni 0.801 0.250 0.590



| no. | total DFT energy (no corrections) (eV/atom) |
| --- | --- |
| 1 | -2.565 |
| 2 | -5.021 |